1.
The following is a DFT calculation (PBE-GGA) of PmMg4Tl2 after structural relaxation.

As for the magnetic moment: 0.000 μB per atom. Its crystal system is tetragonal. For the formation enthalpy at 0 K, the calculation gives -0.144 eV/atom.

The structure belongs to space group P4_2/mnm (No. 136); the cell edges are 8.7148, 8.7148 and 4.6394 Å and the angles 90.00°, 90.00° and 90.00°. The inequivalent atoms are Pm at (0.0000, 0.0000, 0.0000), Mg at (0.0980, 0.3458, 0.5000) and Tl at (0.2012, 0.7988, 0.5000).

2.
The following is a DFT calculation (PBE-GGA) of Na3ZnSb after structural relaxation.

As for the magnetic moment: 0.000 μB per atom. For the uncorrected formation energy, the calculation gives 0.16 eV/atom. Its crystal system is cubic. For the offset from the most stable computed form, the calculation gives 221 meV per atom.

The structure belongs to space group Pm-3m (No. 221); the cell edges are 5.3691, 5.3691 and 5.3691 Å and the angles 90.00°, 90.00° and 90.00°. The inequivalent atoms are Na at (0.0000, 0.0000, 0.5000), Zn at (0.0000, 0.0000, 0.0000) and Sb at (0.5000, 0.5000, 0.5000).